Record 1
Compound: PmSmLuPu
Source: the Alexandria database
Functional: PBE-GGA
Structure: relaxed

Total moment: 7.5 μB/cell

Unit cell a=5.6214 b=5.6214 c=5.6214 alpha=60.00 beta=60.00 gamma=60.00
Closest atoms and distances in Å follow each position.
Fractional coordinates of all 4 atoms:
1 Pm 0.0000 0.0000 0.0000  4 Pu 3.44, 4 Lu 3.44
2 Sm 0.5000 0.5000 0.5000  4 Pu 3.44, 4 Lu 3.44
3 Lu 0.2500 0.2500 0.2500  4 Sm 3.44, 4 Pm 3.44
4 Pu 0.7500 0.7500 0.7500  4 Sm 3.44, 4 Pm 3.44


Record 2
Compound: PmLuPuSn
Source: the Alexandria database
Functional: PBE-GGA
Structure: relaxed

Total moment: 7.0 μB/cell

Unit cell a=5.4220 b=5.4220 c=5.4220 alpha=60.00 beta=60.00 gamma=60.00
Closest atoms and distances in Å follow each position.
Fractional coordinates of all 4 atoms:
1 Pm 0.0000 0.0000 0.0000  4 Sn 3.32, 4 Lu 3.32
2 Lu 0.7500 0.7500 0.7500  4 Pm 3.32, 4 Pu 3.32
3 Pu 0.5000 0.5000 0.5000  4 Sn 3.32, 4 Lu 3.32
4 Sn 0.2500 0.2500 0.2500  4 Pm 3.32, 4 Pu 3.32


Record 3
Compound: PmLuPuTl
Source: the Alexandria database
Functional: PBE-GGA
Structure: relaxed

Total moment: 6.8 μB/cell

Unit cell a=5.4429 b=5.4429 c=5.4429 alpha=60.00 beta=60.00 gamma=60.00
Closest atoms and distances in Å follow each position.
Fractional coordinates of all 4 atoms:
1 Pm 0.0000 0.0000 0.0000  4 Pu 3.33, 4 Lu 3.33
2 Lu 0.2500 0.2500 0.2500  4 Tl 3.33, 4 Pm 3.33
3 Pu 0.7500 0.7500 0.7500  4 Tl 3.33, 4 Pm 3.33
4 Tl 0.5000 0.5000 0.5000  4 Pu 3.33, 4 Lu 3.33


Record 4
Compound: PmYLuPu
Source: the Alexandria database
Functional: PBE-GGA
Structure: relaxed

Total moment: 6.2 μB/cell

Unit cell a=5.6069 b=5.6069 c=5.6069 alpha=60.00 beta=60.00 gamma=60.00
Closest atoms and distances in Å follow each position.
Fractional coordinates of all 4 atoms:
1 Pm 0.0000 0.0000 0.0000  4 Lu 3.43, 4 Y 3.43
2 Y 0.7500 0.7500 0.7500  4 Pm 3.43, 4 Pu 3.43
3 Lu 0.2500 0.2500 0.2500  4 Pu 3.43, 4 Pm 3.43
4 Pu 0.5000 0.5000 0.5000  4 Y 3.43, 4 Lu 3.43


Record 5
Compound: RbPm2Lu
Source: the Alexandria database
Functional: PBE-GGA
Structure: relaxed

Total moment: 0.0 μB/cell

Unit cell a=13.5683 b=13.5683 c=13.5683 alpha=15.48 beta=15.48 gamma=15.48
Closest atoms and distances in Å follow each position.
Fractional coordinates of all 4 atoms:
1 Rb 0.0000 0.0000 0.0000  6 Rb 3.65, 2 Pm 3.91
2 Pm 0.0973 0.0973 0.0973  3 Lu 3.50, 6 Pm 3.65, 1 Rb 3.91
3 Pm 0.9027 0.9027 0.9027  3 Lu 3.50, 6 Pm 3.65, 1 Rb 3.91
4 Lu 0.5000 0.5000 0.5000  6 Pm 3.50, 6 Lu 3.65


Record 6
Compound: Pm2LuRe
Source: the Alexandria database
Functional: PBE-GGA
Structure: relaxed

Total moment: 0.0 μB/cell

Unit cell a=11.4822 b=11.4822 c=11.4822 alpha=16.44 beta=16.44 gamma=16.44
Closest atoms and distances in Å follow each position.
Fractional coordinates of all 4 atoms:
1 Pm 0.0787 0.0787 0.0787  1 Re 2.67
2 Pm 0.9213 0.9213 0.9213  1 Re 2.67
3 Lu 0.5000 0.5000 0.5000  6 Lu 3.28, 6 Pm 3.54
4 Re 0.0000 0.0000 0.0000  2 Pm 2.67


Record 7
Compound: PmLuRh4
Source: the Alexandria database
Functional: PBE-GGA
Structure: relaxed

Total moment: 0.0 μB/cell

Unit cell a=5.3450 b=5.3450 c=5.3450 alpha=60.00 beta=60.00 gamma=60.00
Closest atoms and distances in Å follow each position.
Fractional coordinates of all 6 atoms:
1 Pm 0.0000 0.0000 0.0000  12 Rh 3.13, 4 Lu 3.27
2 Lu 0.7500 0.7500 0.7500  12 Rh 3.13, 4 Pm 3.27
3 Rh 0.3752 0.3752 0.3752  6 Rh 2.67-2.68
4 Rh 0.3752 0.3752 0.8743  6 Rh 2.67-2.68
5 Rh 0.3752 0.8743 0.3752  6 Rh 2.67-2.68
6 Rh 0.8743 0.3752 0.3752  6 Rh 2.67-2.68


Record 8
Compound: PmLuRh
Source: the Alexandria database
Functional: PBE-GGA
Structure: relaxed

Excess energy over the best structure of this formula in the dataset: 16 meV/atom
Total moment: 0.0 μB/cell

Unit cell a=6.7376 b=6.7376 c=6.7376 alpha=150.28 beta=150.28 gamma=42.53
Closest atoms and distances in Å follow each position.
Fractional coordinates of all 3 atoms:
1 Pm 0.0000 0.0000 0.0000  4 Rh 3.05, 1 Lu 3.32
2 Lu 0.2642 0.2642 0.0000  4 Rh 2.86
3 Rh 0.6460 0.6460 0.0000  4 Lu 2.86, 4 Pm 3.05


Values for E_tot, eV/atom, ordered as above
-6.88 -7.04 -6.37 -7.32 -3.48 -5.76 -7.16 -6.08